Record 1
Computed, not measured: a geometry-optimized AcMnCo2H8 structure at the GGA-PBE level of DFT.

Calculated values
For the density of states at the Fermi level, the calculation gives 0.323 states/eV per atom. The calculated total energy is -4.72 eV/atom. The calculation puts the magnetization at 13.04 μB/cell.

Lattice parameters (Å, degrees): 4.5352 4.5352 17.1336 90.00 90.00 120.00
Space group R-3 (No. 148, hexagonal axes)
Inequivalent atoms, fractional coordinates:
Ac  0.0000  0.0000  0.0000 (multiplicity 3)
Mn  0.0000  0.0000  0.5000 (multiplicity 3)
Co  0.0000  0.0000  0.1945 (multiplicity 6)
H  0.0000  0.0000  0.2914 (multiplicity 6)
H  0.0028  0.2868  0.8757 (multiplicity 18)


Record 2
Computed, not measured: a geometry-optimized K2TlAgSb structure at the GGA-PBE level of DFT.

Calculated values
For the raw formation energy, the calculation gives 0.08 eV per atom. For the density of states at the Fermi level, the calculation gives 0.248 states/eV per atom. The energy above the most stable polymorph in this dataset comes out at 0 meV/atom. The calculation puts the magnetization at 0.00 μB/cell.

Lattice parameters (Å, degrees): 6.789 6.789 5.711 90.00 90.00 90.00
Space group P4/mmm (No. 123)
Inequivalent atoms, fractional coordinates:
K  0.000  0.500  0.000 (multiplicity 2)
Tl  0.000  0.000  0.500 (multiplicity 1)
Ag  0.500  0.500  0.500 (multiplicity 1)
Sb  0.000  0.000  0.000 (multiplicity 1)


Record 3
Computed, not measured: a geometry-optimized Na2MgZn9 structure at the GGA-PBE level of DFT.

Calculated values
For the density of states at the Fermi level, the calculation gives 0.280 states/eV per atom. The energy above the most stable polymorph in this dataset comes out at 0 meV/atom. The calculation puts the magnetization at 0.00 μB/cell.

Lattice parameters (Å, degrees): 5.3084 5.3084 26.0346 90.00 90.00 120.00
Space group R-3m (No. 166, hexagonal axes)
Inequivalent atoms, fractional coordinates:
Na  0.0000  0.0000  0.1441 (multiplicity 6)
Mg  0.0000  0.0000  0.0000 (multiplicity 3)
Zn  0.0000  0.0000  0.3339 (multiplicity 6)
Zn  0.0000  0.0000  0.5000 (multiplicity 3)
Zn  0.0027  0.5013  0.9172 (multiplicity 18)


Record 4
Computed, not measured: a geometry-optimized Y2ZrSe structure at the GGA-PBE level of DFT.

Calculated values
For the raw formation energy, the calculation gives -0.22 eV per atom. For the density of states at the Fermi level, the calculation gives 1.527 states/eV per atom. The calculation puts the magnetization at 0.01 μB/cell.

Lattice parameters (Å, degrees): 4.485 4.485 9.825 90.00 90.00 90.00
Space group I4/mmm (No. 139)
Inequivalent atoms, fractional coordinates:
Y  0.000  0.500  0.250 (multiplicity 4)
Zr  0.000  0.000  0.000 (multiplicity 2)
Se  0.000  0.000  0.500 (multiplicity 2)


Record 5
Computed, not measured: a geometry-optimized KSr4Cr structure at the GGA-PBE level of DFT.

Calculated values
For the density of states at the Fermi level, the calculation gives 1.068 states/eV per atom. The calculated total energy is -2.25 eV/atom. The calculation puts the magnetization at 19.04 μB/cell.

Lattice parameters (Å, degrees): 10.945 10.945 10.945 90.00 90.00 90.00
Space group F-43m (No. 216)
Inequivalent atoms, fractional coordinates:
K  0.000  0.000  0.000 (multiplicity 4)
Sr  0.124  0.124  0.624 (multiplicity 16)
Cr  0.250  0.250  0.250 (multiplicity 4)


Record 6
Computed, not measured: a geometry-optimized ZnCdRh2 structure at the GGA-PBE level of DFT.

Calculated values
For the density of states at the Fermi level, the calculation gives 1.135 states/eV per atom. The calculated total energy is -4.23 eV/atom. The calculation puts the magnetization at 4.59 μB/cell.

Lattice parameters (Å, degrees): 6.304 6.304 6.304 90.00 90.00 90.00
Space group F-43m (No. 216)
Inequivalent atoms, fractional coordinates:
Zn  0.000  0.000  0.000 (multiplicity 4)
Cd  0.250  0.250  0.250 (multiplicity 4)
Rh  0.000  0.000  0.500 (multiplicity 4)
Rh  0.250  0.250  0.750 (multiplicity 4)


Record 7
Computed, not measured: a geometry-optimized PuGa2Rh structure at the GGA-PBE level of DFT.

Calculated values
For the density of states at the Fermi level, the calculation gives 1.825 states/eV per atom. The energy above the most stable polymorph in this dataset comes out at 293 meV/atom. The calculation puts the magnetization at 16.33 μB/cell.

Lattice parameters (Å, degrees): 3.0963 3.0963 26.5536 90.00 90.00 120.00
Space group R-3m (No. 166, hexagonal axes)
Inequivalent atoms, fractional coordinates:
Pu  0.0000  0.0000  0.0000 (multiplicity 3)
Ga  0.0000  0.0000  0.2361 (multiplicity 6)
Rh  0.0000  0.0000  0.5000 (multiplicity 3)


Record 8
Computed, not measured: a geometry-optimized Ho2CdAg8 structure at the GGA-PBE level of DFT.

Calculated values
For the density of states at the Fermi level, the calculation gives 0.416 states/eV per atom. The calculated total energy is -3.13 eV/atom. The calculation puts the magnetization at 0.00 μB/cell.

Lattice parameters (Å, degrees): 14.220 4.827 7.277 90.00 117.26 90.00
Space group C2/m (No. 12)
Inequivalent atoms, fractional coordinates:
Ho  0.220  0.000  0.151 (multiplicity 4)
Cd  0.000  0.500  0.500 (multiplicity 2)
Ag  0.027  0.000  0.220 (multiplicity 4)
Ag  0.087  0.500  0.940 (multiplicity 4)
Ag  0.140  0.000  0.661 (multiplicity 4)
Ag  0.171  0.500  0.383 (multiplicity 4)